[1]
Entry from Alexandria via LeMat-Bulk: an optimized crystal structure of K2ZrAg (GGA-PBE).

Properties
Volume   154.3 Å³/cell
Space-group type   C2/m (12)
Offset from the most stable computed form   0.0639 eV/atom
Energy   -2.9410 eV per atom
Magnetic moment   0.0 μB/cell
Density   2.984 g/cm3
Energy of formation from the pure elements   0.458 eV per atom

a b c (Å): 10.4588 10.4588 4.9177
angles (deg): 76.31 76.31 17.18
Element x y z (fractional)
Ag 0.2500 0.2500 0.2500
K 0.9038 0.9038 0.0957
K 0.5962 0.5962 0.4043
Zr 0.7500 0.7500 0.7500

[2]
Entry from Alexandria via LeMat-Bulk: an optimized crystal structure of PaInRh2 (GGA-PBE).

Properties
Volume   75.6 Å³/cell
Space-group type   P4/mmm (123)
Energy   -7.3118 eV per atom
Magnetic moment   0.0 μB/cell
Density   12.114 g/cm3
Energy of formation from the pure elements   -0.577 eV per atom

a b c (Å): 3.3547 4.7478 4.7478
angles (deg): 90.00 90.00 90.00
Element x y z (fractional)
Pa 0.5000 0.0000 0.0000
Rh 0.0000 0.0000 0.5000
Rh 0.0000 0.5000 0.0000
In 0.5000 0.5000 0.5000

[3]
Entry from Alexandria via LeMat-Bulk: an optimized crystal structure of K2CaTc (GGA-PBE).

Properties
Volume   148.8 Å³/cell
Space-group type   Fm-3m (225)
Offset from the most stable computed form   0.4186 eV/atom
Energy   -2.4122 eV per atom
Magnetic moment   2.7 μB/cell
Density   2.414 g/cm3
Energy of formation from the pure elements   1.228 eV per atom

a b c (Å): 5.9477 5.9477 5.9477
angles (deg): 60.00 60.00 60.00
Each line ends with the local moment (μB).
Element x y z (fractional)
K 0.2500 0.2500 0.2500  -0.01
K 0.7500 0.7500 0.7500  -0.01
Ca 0.0000 0.0000 0.0000  -0.08
Tc 0.5000 0.5000 0.5000  2.67

[4]
Entry from Alexandria via LeMat-Bulk: an optimized crystal structure of LaCe2Dy3P6 (GGA-PBE).

Properties
Volume   287.4 Å³/cell
Space-group type   C2/m (12)
Energy   -6.8215 eV per atom
Magnetic moment   0.9 μB/cell
Density   6.312 g/cm3
Energy of formation from the pure elements   -1.566 eV per atom

a b c (Å): 7.0682 7.0682 7.0487
angles (deg): 99.62 99.62 120.00
Each line ends with the local moment (μB).
Element x y z (fractional)
La 0.0000 0.0000 0.0000  0.01
Ce 0.3330 0.6670 0.0000  0.43
Ce 0.6670 0.3330 0.0000  0.43
Dy 0.1654 0.8346 0.5000  0.01
Dy 0.8346 0.1654 0.5000  0.01
Dy 0.5000 0.5000 0.5000  0.01
P 0.9145 0.5739 0.7439  -0.01
P 0.7450 0.7450 0.2566  -0.01
P 0.0855 0.4261 0.2561  -0.01
P 0.5739 0.9145 0.7439  -0.01
P 0.2550 0.2550 0.7434  -0.01
P 0.4261 0.0855 0.2561  -0.01

- Number 4 is which compound?
  LaCe2Dy3P6

- energy of number 3 (K2CaTc)?
  -2.4122 eV per atom

- energy of formation from the pure elements of number 4 (LaCe2Dy3P6)?
  -1.566 eV per atom